DFT (PBE with a Hubbard U) results for FeAgIO2 after structural relaxation.

Computed properties:
raw total energy	-17.36	eV for the cell shown
mass density	5.33	g/cm³
size of the total moment	4.8	Bohr magnetons per cell

Cell: 4.0898 4.0898 6.0050 Å, 90.00 90.00 90.00°
Last column: nearest neighbours and their distance in Å.
Fractional positions:
1 I 0.0000 0.0000 0.5000  4 Fe 2.89, 2 Ag 3.00
2 O 0.0000 0.5000 0.0000  2 Ag 2.04
3 O 0.5000 0.0000 0.0000  2 Ag 2.04
4 Fe 0.5000 0.5000 0.5000  4 I 2.89
5 Ag 0.0000 0.0000 0.0000  4 O 2.04